Record 1
Compound: Sr8Tl2Sn
Source: Alexandria via LeMat-Bulk
Functional: GGA-PBE
Structure: optimized geometry

The space group is C2/m (No. 12) and the conventional cell measures 20.287, 5.810 and 8.194 Å, with angles of 90.00, 110.04 and 90.00 degrees. The distinct sites, in fractional coordinates, are Sr at (0.028, 0.000, 0.286), Sr at (0.097, 0.500, 0.946), Sr at (0.167, 0.500, 0.457), Sr at (0.201, 0.000, 0.803), Tl at (0.181, 0.000, 0.195) and Sn at (0.000, 0.500, 0.500).

Its distance to the lowest polymorph of the same formula is 0.000 eV/atom. The size of the total moment is 0.0 μB/f.u.



Record 2
Compound: Sr2Tl2Sn
Source: Alexandria via LeMat-Bulk
Functional: GGA-PBE
Structure: optimized geometry

The space group is C2/m (No. 12) and the conventional cell measures 12.478, 4.899 and 12.579 Å, with angles of 90.00, 116.88 and 90.00 degrees. The distinct sites, in fractional coordinates, are Sr at (0.009, 0.000, 0.324), Sr at (0.187, 0.000, 0.108), Tl at (0.037, 0.500, 0.894), Tl at (0.149, 0.500, 0.536) and Sn at (0.221, 0.500, 0.312).

Its distance to the lowest polymorph of the same formula is 0.000 eV/atom. The size of the total moment is 0.0 μB/f.u.



Record 3
Compound: Sr2TlSn2
Source: Alexandria via LeMat-Bulk
Functional: GGA-PBE
Structure: optimized geometry

The space group is C2/m (No. 12) and the conventional cell measures 12.509, 5.038 and 11.752 Å, with angles of 90.00, 115.43 and 90.00 degrees. The distinct sites, in fractional coordinates, are Sr at (0.004, 0.000, 0.177), Sr at (0.181, 0.000, 0.607), Tl at (0.199, 0.500, 0.844), Sn at (0.042, 0.500, 0.399) and Sn at (0.140, 0.500, 0.074).

The raw total energy is -3.25 eV per atom. The size of the total moment is 0.0 μB/f.u.